## InAgPd6 (PBE)

Data for InAgPd6 after structural relaxation.

Geometry as CIF:
```
data_InAgPd6
_symmetry_space_group_name_H-M 'P 1'
_symmetry_Int_Tables_number 1
_symmetry_space_group_name_Hall 'P 1'
_cell_length_a 4.633
_cell_length_b 5.692
_cell_length_c 5.692
_cell_angle_alpha 120.01
_cell_angle_beta 90.00
_cell_angle_gamma 90.00
loop_
_atom_site_label
_atom_site_fract_x
_atom_site_fract_y
_atom_site_fract_z
Pd1 0.500 0.916 0.582
Pd2 0.500 0.916 0.084
Pd3 0.000 0.080 0.415
Pd4 0.000 0.585 0.920
Pd5 0.000 0.585 0.415
Pd6 0.500 0.418 0.084
Ag1 0.000 0.083 0.917
In1 0.500 0.417 0.583
```

Results
- Space-group type: P-6m2
- Excess energy over the best structure of this formula in the dataset: 0 meV per atom

## In2Ag2Pd5 (PBE)

Data for In2Ag2Pd5 after structural relaxation.

Geometry as CIF:
```
data_In2Ag2Pd5
_symmetry_space_group_name_H-M 'P 1'
_symmetry_Int_Tables_number 1
_symmetry_space_group_name_Hall 'P 1'
_cell_length_a 7.248
_cell_length_b 5.330
_cell_length_c 9.382
_cell_angle_alpha 107.92
_cell_angle_beta 112.72
_cell_angle_gamma 90.00
loop_
_atom_site_label
_atom_site_fract_x
_atom_site_fract_y
_atom_site_fract_z
Pd1 0.371 0.160 0.663
Pd2 0.074 0.155 0.785
Pd3 0.015 0.771 0.484
Pd4 0.792 0.660 0.663
Pd5 0.969 0.271 0.484
Pd6 0.831 0.789 0.177
Pd7 0.228 0.064 0.330
Pd8 0.847 0.289 0.177
Pd9 0.211 0.655 0.785
Pd10 0.603 0.564 0.330
In1 0.464 0.420 0.996
In2 0.032 0.920 0.996
In3 0.657 0.086 0.526
In4 0.369 0.586 0.526
Ag1 0.782 0.387 0.879
Ag2 0.184 0.504 0.159
Ag3 0.475 0.004 0.159
Ag4 0.597 0.887 0.879
```

Results
- Space-group type: Cc

## In5AgPd4 (PBE)

Data for In5AgPd4 after structural relaxation.

Geometry as CIF:
```
data_In5AgPd4
_symmetry_space_group_name_H-M 'P 1'
_symmetry_Int_Tables_number 1
_symmetry_space_group_name_Hall 'P 1'
_cell_length_a 3.308
_cell_length_b 3.308
_cell_length_c 16.983
_cell_angle_alpha 90.00
_cell_angle_beta 90.00
_cell_angle_gamma 90.00
loop_
_atom_site_label
_atom_site_fract_x
_atom_site_fract_y
_atom_site_fract_z
Ag1 0.000 0.000 0.000
In1 0.500 0.500 0.500
In2 0.500 0.500 0.112
In3 0.500 0.500 0.693
In4 0.500 0.500 0.888
In5 0.500 0.500 0.307
Pd1 0.000 0.000 0.403
Pd2 0.000 0.000 0.791
Pd3 0.000 0.000 0.209
Pd4 0.000 0.000 0.597
```

Results
- Space-group type: P4/mmm

## In2AgPd8 (PBE)

Data for In2AgPd8 after structural relaxation.

Geometry as CIF:
```
data_In2AgPd8
_symmetry_space_group_name_H-M 'P 1'
_symmetry_Int_Tables_number 1
_symmetry_space_group_name_Hall 'P 1'
_cell_length_a 4.290
_cell_length_b 7.158
_cell_length_c 7.398
_cell_angle_alpha 118.93
_cell_angle_beta 106.86
_cell_angle_gamma 90.00
loop_
_atom_site_label
_atom_site_fract_x
_atom_site_fract_y
_atom_site_fract_z
Pd1 0.654 0.432 0.309
Pd2 0.847 0.847 0.695
Pd3 0.000 0.706 0.000
Pd4 0.000 0.294 0.000
Pd5 0.654 0.877 0.309
Pd6 0.153 0.153 0.305
Pd7 0.346 0.123 0.691
Pd8 0.346 0.568 0.691
In1 0.192 0.692 0.385
In2 0.808 0.308 0.615
Ag1 0.500 0.000 0.000
```

Results
- Space-group type: Immm
- Excess energy over the best structure of this formula in the dataset: 51 meV per atom

## In2AgPd (PBE)

Data for In2AgPd after structural relaxation.

Geometry as CIF:
```
data_In2AgPd
_symmetry_space_group_name_H-M 'P 1'
_symmetry_Int_Tables_number 1
_symmetry_space_group_name_Hall 'P 1'
_cell_length_a 4.776
_cell_length_b 4.776
_cell_length_c 4.776
_cell_angle_alpha 60.00
_cell_angle_beta 60.00
_cell_angle_gamma 60.00
loop_
_atom_site_label
_atom_site_fract_x
_atom_site_fract_y
_atom_site_fract_z
Pd1 0.000 0.000 0.000
In1 0.250 0.250 0.250
In2 0.750 0.750 0.750
Ag1 0.500 0.500 0.500
```

Results
- Space-group type: Fm-3m
- Excess energy over the best structure of this formula in the dataset: 14 meV per atom

## InAg3Pd12 (PBE)

Data for InAg3Pd12 after structural relaxation.

Geometry as CIF:
```
data_InAg3Pd12
_symmetry_space_group_name_H-M 'P 1'
_symmetry_Int_Tables_number 1
_symmetry_space_group_name_Hall 'P 1'
_cell_length_a 4.022
_cell_length_b 4.022
_cell_length_c 15.907
_cell_angle_alpha 90.00
_cell_angle_beta 90.00
_cell_angle_gamma 90.00
loop_
_atom_site_label
_atom_site_fract_x
_atom_site_fract_y
_atom_site_fract_z
Pd1 0.500 0.000 0.376
Pd2 0.500 0.000 0.874
Pd3 0.000 0.500 0.874
Pd4 0.500 0.500 0.251
Pd5 0.500 0.500 0.000
Pd6 0.500 0.000 0.126
Pd7 0.500 0.500 0.500
Pd8 0.500 0.000 0.624
Pd9 0.000 0.500 0.624
Pd10 0.000 0.500 0.126
Pd11 0.500 0.500 0.749
Pd12 0.000 0.500 0.376
Ag1 0.000 0.000 0.749
Ag2 0.000 0.000 0.251
Ag3 0.000 0.000 0.500
In1 0.000 0.000 0.000
```

Results
- Space-group type: P4/mmm

## InAg2Pd3 (PBE)

Data for InAg2Pd3 after structural relaxation.

Geometry as CIF:
```
data_InAg2Pd3
_symmetry_space_group_name_H-M 'P 1'
_symmetry_Int_Tables_number 1
_symmetry_space_group_name_Hall 'P 1'
_cell_length_a 3.713
_cell_length_b 4.294
_cell_length_c 6.727
_cell_angle_alpha 108.61
_cell_angle_beta 90.00
_cell_angle_gamma 90.00
loop_
_atom_site_label
_atom_site_fract_x
_atom_site_fract_y
_atom_site_fract_z
Pd1 0.500 0.838 0.675
Pd2 0.500 0.162 0.325
Pd3 0.500 0.500 0.000
Ag1 0.000 0.329 0.658
Ag2 0.000 0.671 0.342
In1 0.000 0.000 0.000
```

Results
- Space-group type: Cmmm

## InAg2Pd8 (PBE)

Data for InAg2Pd8 after structural relaxation.

Geometry as CIF:
```
data_InAg2Pd8
_symmetry_space_group_name_H-M 'P 1'
_symmetry_Int_Tables_number 1
_symmetry_space_group_name_Hall 'P 1'
_cell_length_a 5.066
_cell_length_b 7.580
_cell_length_c 7.477
_cell_angle_alpha 59.55
_cell_angle_beta 71.09
_cell_angle_gamma 50.24
loop_
_atom_site_label
_atom_site_fract_x
_atom_site_fract_y
_atom_site_fract_z
Ag1 0.000 0.308 0.385
Ag2 0.000 0.692 0.615
Pd1 0.128 0.670 0.228
Pd2 0.500 0.214 0.573
Pd3 0.872 0.330 0.772
Pd4 0.128 0.898 0.772
Pd5 0.500 0.786 0.427
Pd6 0.316 0.419 0.000
Pd7 0.684 0.581 0.000
Pd8 0.872 0.102 0.228
In1 0.500 0.000 0.000
```

Results
- Space-group type: C2/m
- Excess energy over the best structure of this formula in the dataset: 117 meV per atom

| no. | formation energy (eV per atom) |
| --- | --- |
| 1 | -0.2078 |
| 2 | -0.2247 |
| 3 | -0.3877 |
| 4 | -0.2415 |
| 5 | -0.2048 |
| 6 | -0.1101 |
| 7 | -0.2696 |
| 8 | 0.0325 |